No. 1
Entry from Alexandria: a relaxed BaFe3Te crystal (PBE-GGA).

Values from the calculation:
electronic total energy = -4.033 eV/atom
DOS at the Fermi energy = 8.84 states/eV/f.u.
distance to the lowest polymorph of the same formula = 1313 meV per atom
spin magnetization = 1.516 μB/atom
crystal system = cubic

a b c (Å): 5.005 5.005 5.005
angles (deg): 90.00 90.00 90.00
Space group Pm-3m (No. 221)
Inequivalent atoms, fractional coordinates:
Ba 0.000 0.000 0.000 (multiplicity 1)
Fe 0.000 0.000 0.500 (multiplicity 3)
Te 0.500 0.500 0.500 (multiplicity 1)

---

No. 2
Entry from Alexandria: a relaxed LaY2HfW crystal (PBE-GGA).

Values from the calculation:
electronic total energy = -7.227 eV/atom
DOS at the Fermi energy = 12.22 states/eV/f.u.
DFT formation energy = 4.6 eV per formula unit
spin magnetization = 0.000 μB/atom
crystal system = tetragonal

a b c (Å): 5.425 5.425 5.454
angles (deg): 90.00 90.00 90.00
Space group P4/mmm (No. 123)
Inequivalent atoms, fractional coordinates:
La 0.000 0.000 0.000 (multiplicity 1)
Y 0.000 0.500 0.500 (multiplicity 2)
Hf 0.500 0.500 0.000 (multiplicity 1)
W 0.000 0.000 0.500 (multiplicity 1)

---

No. 3
Entry from Alexandria: a relaxed LiMg3Ir crystal (PBE-GGA).

Values from the calculation:
electronic total energy = -3.284 eV/atom
DOS at the Fermi energy = 2.13 states/eV/f.u.
distance to the lowest polymorph of the same formula = 107 meV per atom
DFT formation energy = -0.9 eV per formula unit
spin magnetization = 0.000 μB/atom
crystal system = triclinic

a b c (Å): 4.299 5.243 9.680
angles (deg): 80.23 89.93 65.97
Space group P-1 (No. 2)
Inequivalent atoms, fractional coordinates:
Li 0.162 0.175 0.072 (multiplicity 2)
Mg 0.120 0.262 0.414 (multiplicity 2)
Mg 0.213 0.075 0.736 (multiplicity 2)
Mg 0.465 0.570 0.143 (multiplicity 2)
Ir 0.402 0.694 0.393 (multiplicity 2)

---

No. 4
Entry from Alexandria: a relaxed Ta2Ga2Si crystal (PBE-GGA).

Values from the calculation:
electronic total energy = -7.111 eV/atom
DOS at the Fermi energy = 3.25 states/eV/f.u.
spin magnetization = 0.000 μB/atom
crystal system = tetragonal

a b c (Å): 6.637 6.637 3.992
angles (deg): 90.00 90.00 90.00
Space group P4/mbm (No. 127)
Inequivalent atoms, fractional coordinates:
Ta 0.163 0.337 0.000 (multiplicity 4)
Ga 0.144 0.644 0.500 (multiplicity 4)
Si 0.000 0.000 0.000 (multiplicity 2)

---

No. 5
Entry from Alexandria: a relaxed AsPb2Au2 crystal (PBE-GGA).

Values from the calculation:
electronic total energy = -3.706 eV/atom
DOS at the Fermi energy = 2.35 states/eV/f.u.
distance to the lowest polymorph of the same formula = 37 meV per atom
DFT formation energy = 0.1 eV per formula unit
spin magnetization = 0.000 μB/atom
crystal system = tetragonal

a b c (Å): 7.329 7.329 4.525
angles (deg): 90.00 90.00 90.00
Space group P4/mbm (No. 127)
Inequivalent atoms, fractional coordinates:
As 0.000 0.000 0.000 (multiplicity 2)
Pb 0.172 0.328 0.500 (multiplicity 4)
Au 0.137 0.637 0.000 (multiplicity 4)

---

No. 6
Entry from Alexandria: a relaxed K4AgAu crystal (PBE-GGA).

Values from the calculation:
electronic total energy = -1.435 eV/atom
DOS at the Fermi energy = 1.59 states/eV/f.u.
distance to the lowest polymorph of the same formula = 406 meV per atom
DFT formation energy = 1.9 eV per formula unit
spin magnetization = 0.000 μB/atom
crystal system = cubic

a b c (Å): 10.068 10.068 10.068
angles (deg): 90.00 90.00 90.00
Space group F-43m (No. 216)
Inequivalent atoms, fractional coordinates:
K 0.125 0.125 0.125 (multiplicity 16)
Ag 0.250 0.250 0.750 (multiplicity 4)
Au 0.000 0.000 0.500 (multiplicity 4)

---

No. 7
Entry from Alexandria: a relaxed NaThAgS3 crystal (PBE-GGA).

Values from the calculation:
electronic total energy = -5.309 eV/atom
DOS at the Fermi energy = 0.00 states/eV/f.u.
spin magnetization = 0.000 μB/atom
crystal system = monoclinic

a b c (Å): 7.357 4.208 10.182
angles (deg): 90.00 102.25 90.00
Space group P2_1/m (No. 11)
Inequivalent atoms, fractional coordinates:
Na 0.142 0.250 0.176 (multiplicity 2)
Th 0.362 0.250 0.818 (multiplicity 2)
Ag 0.131 0.750 0.569 (multiplicity 2)
S 0.000 0.250 0.687 (multiplicity 2)
S 0.282 0.750 0.993 (multiplicity 2)
S 0.476 0.750 0.683 (multiplicity 2)

---

No. 8
Entry from Alexandria: a relaxed Li2HoMgTl2 crystal (PBE-GGA).

Values from the calculation:
electronic total energy = -2.715 eV/atom
DOS at the Fermi energy = 2.87 states/eV/f.u.
DFT formation energy = -1.6 eV per formula unit
spin magnetization = 0.000 μB/atom
crystal system = trigonal

a b c (Å): 4.8435 4.8435 6.6037
angles (deg): 90.00 90.00 120.00
Space group P-3m1 (No. 164)
Inequivalent atoms, fractional coordinates:
Li 0.3333 0.6667 0.1972 (multiplicity 2)
Ho 0.0000 0.0000 0.5000 (multiplicity 1)
Mg 0.0000 0.0000 0.0000 (multiplicity 1)
Tl 0.3333 0.6667 0.7335 (multiplicity 2)

---

No. 9
Entry from Alexandria: a relaxed Co2PtW crystal (PBE-GGA).

Values from the calculation:
electronic total energy = -7.856 eV/atom
DOS at the Fermi energy = 1.50 states/eV/f.u.
distance to the lowest polymorph of the same formula = 566 meV per atom
DFT formation energy = 1.8 eV per formula unit
spin magnetization = 0.000 μB/atom
crystal system = tetragonal

a b c (Å): 6.600 6.600 5.276
angles (deg): 90.00 90.00 90.00
Space group I-42d (No. 122)
Inequivalent atoms, fractional coordinates:
Co 0.226 0.750 0.125 (multiplicity 8)
Pt 0.000 0.000 0.500 (multiplicity 4)
W 0.000 0.000 0.000 (multiplicity 4)

---

No. 10
Entry from Alexandria: a relaxed MnAgCl5 crystal (PBE-GGA).

Values from the calculation:
electronic total energy = -3.707 eV/atom
DOS at the Fermi energy = 3.15 states/eV/f.u.
distance to the lowest polymorph of the same formula = 0 meV per atom
spin magnetization = 0.455 μB/atom
crystal system = monoclinic

a b c (Å): 9.385 9.209 9.425
angles (deg): 90.00 115.70 90.00
Space group C2/c (No. 15)
Inequivalent atoms, fractional coordinates:
Mn 0.250 0.250 0.000 (multiplicity 4)
Ag 0.000 0.042 0.250 (multiplicity 4)
Cl 0.000 0.250 0.750 (multiplicity 4)
Cl 0.108 0.265 0.141 (multiplicity 8)
Cl 0.243 0.002 0.006 (multiplicity 8)

---

No. 11
Entry from Alexandria: a relaxed PrMgZnCu2 crystal (PBE-GGA).

Values from the calculation:
electronic total energy = -3.361 eV/atom
DOS at the Fermi energy = 3.70 states/eV/f.u.
DFT formation energy = -1.0 eV per formula unit
spin magnetization = 0.000 μB/atom
crystal system = tetragonal

a b c (Å): 4.071 4.071 11.708
angles (deg): 90.00 90.00 90.00
Space group I-4m2 (No. 119)
Inequivalent atoms, fractional coordinates:
Pr 0.000 0.000 0.000 (multiplicity 2)
Mg 0.000 0.500 0.250 (multiplicity 2)
Zn 0.000 0.500 0.750 (multiplicity 2)
Cu 0.000 0.000 0.394 (multiplicity 4)

---

No. 12
Entry from Alexandria: a relaxed La2PmThS4 crystal (PBE-GGA).

Values from the calculation:
electronic total energy = -6.868 eV/atom
DOS at the Fermi energy = 3.59 states/eV/f.u.
spin magnetization = 0.000 μB/atom
crystal system = monoclinic

a b c (Å): 7.096 4.086 7.097
angles (deg): 90.00 109.43 90.00
Space group P2/m (No. 10)
Inequivalent atoms, fractional coordinates:
La 0.000 0.000 0.000 (multiplicity 1)
La 0.500 0.500 0.000 (multiplicity 1)
Pm 0.000 0.500 0.500 (multiplicity 1)
Th 0.500 0.000 0.500 (multiplicity 1)
S 0.247 0.000 0.741 (multiplicity 2)
S 0.252 0.500 0.258 (multiplicity 2)

---

Repeat the third record exactly.
Entry from Alexandria: a relaxed LiMg3Ir crystal (PBE-GGA).

Values from the calculation:
electronic total energy = -3.284 eV/atom
DOS at the Fermi energy = 2.13 states/eV/f.u.
distance to the lowest polymorph of the same formula = 107 meV per atom
DFT formation energy = -0.9 eV per formula unit
spin magnetization = 0.000 μB/atom
crystal system = triclinic

a b c (Å): 4.299 5.243 9.680
angles (deg): 80.23 89.93 65.97
Space group P-1 (No. 2)
Inequivalent atoms, fractional coordinates:
Li 0.162 0.175 0.072 (multiplicity 2)
Mg 0.120 0.262 0.414 (multiplicity 2)
Mg 0.213 0.075 0.736 (multiplicity 2)
Mg 0.465 0.570 0.143 (multiplicity 2)
Ir 0.402 0.694 0.393 (multiplicity 2)